The following is a DFT calculation (meta-GGA SCAN) of a crystal of Zr2Be2Cd relaxed with PBEsol.

Lattice parameters (Å, degrees): 3.877 6.447 6.447 90.00 90.00 90.00
Fractional coordinates of all 10 atoms:
Be1 0.000 0.378 0.878
Be2 0.000 0.878 0.622
Be3 0.000 0.622 0.122
Be4 0.000 0.122 0.378
Zr1 0.500 0.169 0.669
Zr2 0.500 0.669 0.831
Zr3 0.500 0.831 0.331
Zr4 0.500 0.331 0.169
Cd1 0.000 0.000 0.000
Cd2 0.000 0.500 0.500

**Energy**: -20.356 eV/atom
**Space group**: No. 127
**Theoretical density**: 6.4 g cm⁻³
**DFT formation energy**: -0.2524 eV per atom